No. 1
GGA-PBE Tl2Pt5S6, optimized geometry; VASP energy = -5.03 eV per atom; total magnetic moment = 0.0 μB/cell; space-group type = P2_1/c, No. 14
1.0
7.035 0.000 0.000
0.000 7.079 0.000
-5.502 0.000 11.190
Tl Pt S
4 10 12
direct
0.161 0.213 0.045
0.161 0.287 0.545
0.839 0.713 0.455
0.839 0.787 0.955
0.000 0.189 0.245
0.000 0.311 0.745
0.000 0.689 0.255
0.000 0.811 0.755
0.500 0.000 0.500
0.500 0.071 0.767
0.500 0.429 0.267
0.500 0.500 0.000
0.500 0.571 0.733
0.500 0.929 0.233
0.242 0.059 0.836
0.242 0.441 0.336
0.242 0.564 0.807
0.242 0.936 0.307
0.347 0.659 0.113
0.347 0.841 0.613
0.653 0.159 0.387
0.653 0.341 0.887
0.758 0.064 0.693
0.758 0.436 0.193
0.758 0.559 0.664
0.758 0.941 0.164



No. 2
GGA-PBE Sc2ReO4, optimized geometry; VASP energy = -8.52 eV per atom; total magnetic moment = 9.0 μB/cell; space-group type = Fd-3m, No. 227
1.0
0.000 4.467 4.467
4.467 0.000 4.467
4.467 4.467 0.000
Sc Re O
4 2 8
direct
0.000 0.000 0.000
0.000 0.000 0.500
0.000 0.500 0.000
0.500 0.000 0.000
0.375 0.375 0.375
0.625 0.625 0.625
0.212 0.763 0.763
0.237 0.237 0.237
0.237 0.237 0.788
0.237 0.788 0.237
0.763 0.212 0.763
0.763 0.763 0.212
0.763 0.763 0.763
0.788 0.237 0.237



No. 3
GGA-PBE KSmCoSe3, optimized geometry; VASP energy = -4.83 eV per atom; polymorph energy (0 for the lowest one) = 0.219 eV per atom; total magnetic moment = 4.0 μB/cell; space-group type = C2/m, No. 12
1.0
8.399 -2.136 0.000
8.399 2.136 0.000
-2.013 0.000 8.321
K Sm Co Se
2 2 2 6
direct
0.143 0.143 0.071
0.857 0.857 0.929
0.170 0.170 0.593
0.830 0.830 0.407
0.500 0.500 0.297
0.500 0.500 0.703
0.000 0.000 0.500
0.347 0.347 0.648
0.352 0.352 0.200
0.500 0.500 0.000
0.648 0.648 0.800
0.653 0.653 0.352



No. 4
GGA-PBE HfTlCuTc, optimized geometry; VASP energy = -6.38 eV per atom; polymorph energy (0 for the lowest one) = 0.000 eV per atom; total magnetic moment = 0.0 μB/cell; space-group type = F-43m, No. 216
1.0
0.000 3.275 3.275
3.275 0.000 3.275
3.275 3.275 0.000
Hf Tl Cu Tc
1 1 1 1
direct
0.000 0.000 0.000
0.500 0.500 0.500
0.750 0.750 0.750
0.250 0.250 0.250



No. 5
GGA-PBE YTl2CuF6, optimized geometry; VASP energy = -5.05 eV per atom; total magnetic moment = 0.0 μB/cell; space-group type = Fm-3m, No. 225
1.0
0.000 4.275 4.275
4.275 0.000 4.275
4.275 4.275 0.000
Y Tl Cu F
1 2 1 6
direct
0.000 0.000 0.000
0.250 0.250 0.250
0.750 0.750 0.750
0.500 0.500 0.500
0.251 0.251 0.749
0.251 0.749 0.251
0.251 0.749 0.749
0.749 0.251 0.251
0.749 0.251 0.749
0.749 0.749 0.251



No. 6
GGA-PBE Li2Nb2AlGaPd2, optimized geometry; VASP energy = -5.37 eV per atom; total magnetic moment = 1.5 μB/cell; space-group type = P-4m2, No. 115
1.0
4.409 0.000 0.000
0.000 4.409 0.000
0.000 0.000 6.235
Li Nb Al Ga Pd
2 2 1 1 2
direct
0.000 0.500 0.248
0.500 0.000 0.752
0.000 0.000 0.000
0.500 0.500 0.500
0.000 0.000 0.500
0.500 0.500 0.000
0.000 0.500 0.747
0.500 0.000 0.253